Ba2Na13, optimized geometry, DFT GGA-PBE; energy of formation = 112 kJ/mol of formula units; density of states at the Fermi level = 0.77 states/eV/atom; electronic total energy = -1.322 eV/atom; total magnetic moment = 0.00 μB per atom; mass density = 1.5 g/cm3
1.0
9.296 0.000 0.000
4.648 8.050 0.000
4.648 2.683 8.606
Na Ba
13 2
Direct
0.945 0.334 0.386
0.334 0.334 0.386
0.334 0.945 0.386
0.179 0.813 0.196
0.821 0.187 0.804
0.813 0.813 0.196
0.813 0.179 0.196
0.055 0.666 0.614
0.666 0.666 0.614
0.666 0.055 0.614
0.187 0.821 0.804
0.187 0.187 0.804
0.500 0.500 0.500
0.335 0.335 0.994
0.665 0.665 0.006